YHoCr2O8 after structural relaxation. Source: Alexandria via LeMat-Bulk, functional GGA+U. Values from VASP.

Cell and atoms, written as Quantum ESPRESSO input:
```
&SYSTEM
  ibrav = 0, nat = 12, ntyp = 4
/
ATOMIC_SPECIES
Y 88.91 Y.upf
Ho 164.93 Ho.upf
Cr 52.00 Cr.upf
O 16.00 O.upf
CELL_PARAMETERS angstrom
-4.686 -1.208 3.524
4.631 -3.781 0.304
2.088 5.316 1.793
ATOMIC_POSITIONS crystal
Y 0.000 0.000 0.000
Ho 0.250 0.750 0.500
Cr 0.750 0.250 0.500
Cr 0.500 0.500 0.000
O 0.391 0.074 0.316
O 0.326 0.511 0.185
O 0.326 0.141 0.815
O 0.758 0.074 0.684
O 0.859 0.674 0.185
O 0.926 0.242 0.316
O 0.926 0.609 0.684
O 0.489 0.674 0.815
```

Calculated values
Its crystal system is tetragonal. The density is 4.944 g/cm3. The calculation puts the calculated volume at 13.60 Å³/atom. The value obtained for the final energy is -93.592 eV/f.u.